# AlSiF

A relaxed structure of AlSiF (PBE-GGA, Alexandria via LeMat-Bulk).

Lattice parameters (Å, degrees): 3.6950 5.0594 6.1491 95.63 107.00 107.17
With the nearest neighbours (Å) after each atom.
Fractional positions:
Al1 0.0000 0.0000 0.0000  1 F 1.86
Al2 0.0493 0.6747 0.3977  3 F 1.86-1.88
Si1 0.2274 0.6184 0.8121  2 Si 2.38-2.39, 2 Al 2.51-2.62
Si2 0.7232 0.4151 0.9752  2 Si 2.38-2.39, 2 Al 2.55-2.59
F1 0.1652 0.0326 0.3201  2 Al 1.86-1.88
F2 0.5729 0.7123 0.4145  2 Al 1.86

Its raw total energy is -4.902 eV/atom. The value obtained for the energy above the most stable polymorph in this dataset is 106 meV/atom.